Record 1
# Zn2Re | the Alexandria database | PBE | optimized geometry
# Space-group type: No. 141
# Formation energy: 0.28 eV/atom
data_Zn2Re
_chemical_formula_sum 'Zn8 Re4'
_cell_length_a 2.655
_cell_length_b 2.655
_cell_length_c 25.696
_cell_angle_alpha 90.00
_cell_angle_beta 90.00
_cell_angle_gamma 90.00
_symmetry_space_group_name_H-M 'P 1'
_symmetry_Int_Tables_number 1
_symmetry_space_group_name_Hall 'P 1'
loop_
_atom_site_label
_atom_site_type_symbol
_atom_site_fract_x
_atom_site_fract_y
_atom_site_fract_z
Zn1 Zn 0.000 0.250 0.295
Zn2 Zn 0.000 0.250 0.455
Zn3 Zn 0.000 0.750 0.545
Zn4 Zn 0.000 0.750 0.705
Zn5 Zn 0.500 0.250 0.045
Zn6 Zn 0.500 0.250 0.205
Zn7 Zn 0.500 0.750 0.795
Zn8 Zn 0.500 0.750 0.955
Re1 Re 0.000 0.250 0.875
Re2 Re 0.000 0.750 0.125
Re3 Re 0.500 0.250 0.625
Re4 Re 0.500 0.750 0.375


Record 2
# Zn2Re | the Alexandria database | PBE | optimized geometry
# Space-group type: No. 62
# Formation energy: 0.24 eV/atom
data_Zn2Re
_chemical_formula_sum 'Zn8 Re4'
_cell_length_a 5.430
_cell_length_b 3.940
_cell_length_c 8.306
_cell_angle_alpha 90.00
_cell_angle_beta 90.00
_cell_angle_gamma 90.00
_symmetry_space_group_name_H-M 'P 1'
_symmetry_Int_Tables_number 1
_symmetry_space_group_name_Hall 'P 1'
loop_
_atom_site_label
_atom_site_type_symbol
_atom_site_fract_x
_atom_site_fract_y
_atom_site_fract_z
Zn1 Zn 0.089 0.250 0.088
Zn2 Zn 0.162 0.250 0.751
Zn3 Zn 0.338 0.750 0.251
Zn4 Zn 0.411 0.750 0.588
Zn5 Zn 0.589 0.250 0.412
Zn6 Zn 0.662 0.250 0.749
Zn7 Zn 0.838 0.750 0.249
Zn8 Zn 0.911 0.750 0.912
Re1 Re 0.083 0.250 0.426
Re2 Re 0.417 0.750 0.926
Re3 Re 0.583 0.250 0.074
Re4 Re 0.917 0.750 0.574


Record 3
# ZnRe2 | the Alexandria database | PBE | optimized geometry
# Space-group type: No. 189
# Formation energy: 0.23 eV/atom
data_ZnRe2
_chemical_formula_sum 'Zn3 Re6'
_cell_length_a 7.354
_cell_length_b 7.354
_cell_length_c 2.773
_cell_angle_alpha 90.00
_cell_angle_beta 90.00
_cell_angle_gamma 120.00
_symmetry_space_group_name_H-M 'P 1'
_symmetry_Int_Tables_number 1
_symmetry_space_group_name_Hall 'P 1'
loop_
_atom_site_label
_atom_site_type_symbol
_atom_site_fract_x
_atom_site_fract_y
_atom_site_fract_z
Zn1 Zn 0.000 0.000 0.000
Zn2 Zn 0.333 0.667 0.500
Zn3 Zn 0.667 0.333 0.500
Re1 Re 0.000 0.308 0.500
Re2 Re 0.000 0.642 0.000
Re3 Re 0.308 0.000 0.500
Re4 Re 0.358 0.358 0.000
Re5 Re 0.642 0.000 0.000
Re6 Re 0.692 0.692 0.500


Record 4
# ZnRe2 | the Alexandria database | PBE | optimized geometry
# Space-group type: No. 71
# Formation energy: 0.19 eV/atom
data_ZnRe2
_chemical_formula_sum 'Zn2 Re4'
_cell_length_a 2.816
_cell_length_b 3.810
_cell_length_c 8.180
_cell_angle_alpha 90.00
_cell_angle_beta 90.00
_cell_angle_gamma 90.00
_symmetry_space_group_name_H-M 'P 1'
_symmetry_Int_Tables_number 1
_symmetry_space_group_name_Hall 'P 1'
loop_
_atom_site_label
_atom_site_type_symbol
_atom_site_fract_x
_atom_site_fract_y
_atom_site_fract_z
Zn1 Zn 0.000 0.000 0.000
Zn2 Zn 0.500 0.500 0.500
Re1 Re 0.000 0.000 0.329
Re2 Re 0.000 0.000 0.671
Re3 Re 0.500 0.500 0.171
Re4 Re 0.500 0.500 0.829